Crystalline Li4Nb3Fe5O16 at its relaxed geometry, computed with GGA+U.

Structure (extended XYZ):
```
28
Lattice="5.182 -3.034 0.000 5.182 3.034 0.000 -0.074 0.000 9.778" Properties=species:S:1:pos:R:3 pbc="T T T"
Li 0.000 0.000 0.000
Li 3.365 0.000 5.972
Li 5.544 0.000 4.328
Li 6.937 0.000 8.771
Nb 2.710 1.512 1.928
Nb 2.710 -1.512 1.928
Nb 8.686 0.000 6.549
Fe 0.237 0.000 4.066
Fe 6.027 1.556 6.783
Fe 3.521 0.000 8.860
Fe 5.259 0.000 1.634
Fe 6.027 -1.556 6.783
O -0.050 0.000 7.791
O 2.590 1.529 7.769
O 1.502 0.000 5.699
O 4.435 1.595 5.562
O 4.193 1.358 0.489
O 1.942 0.000 0.753
O 3.529 0.000 2.981
O 6.252 1.424 2.939
O 2.590 -1.529 7.769
O 5.236 0.000 7.797
O 4.193 -1.358 0.489
O 6.869 0.000 5.773
O 7.156 0.000 0.801
O 4.435 -1.595 5.562
O 6.252 -1.424 2.939
O 8.857 0.000 2.845
```

As for the final energy: -7.06 eV per atom. As for the size of the total moment: 0.54 μB/atom. The symmetry is Cm.